MnPHF2 | GGA+U | optimized geometry

Calculated values
Calculated total energy (eV for the cell shown): -22.8
Calculated density (g/cm3): 2.76
Spin magnetization (μB/cell): 5.00
DOS at the Fermi energy (states/eV per cell): 0.1
Crystal system: tetragonal

Unit cell a=3.810 b=3.810 c=5.177 alpha=90.00 beta=90.00 gamma=90.00
Space group P4/mmm (No. 123)
Unique sites:
1 Mn 0.000 0.000 0.000 [1 per cell]
2 P 0.000 0.000 0.500 [1 per cell]
3 H 0.500 0.500 0.000 [1 per cell]
4 F 0.000 0.500 0.500 [2 per cell]